Record 1
BaTe2H (PBE, relaxed); SG = I-42d; crystal system = tetragonal
1.0
-3.8168 3.8168 3.9327
3.8168 -3.8168 3.9327
3.8168 3.8168 -3.9327
Ba Te H
2 4 2
direct
0.0000 0.0000 0.0000
0.7500 0.2500 0.5000
0.2551 0.6250 0.1301
0.3750 0.5051 0.6301
0.4949 0.1250 0.8699
0.8750 0.7449 0.3699
0.2500 0.7500 0.5000
0.5000 0.5000 0.0000



Record 2
CaMn2W (PBE, relaxed); SG = I4_1/amd; crystal system = tetragonal; ΔE_f = 1.1192 eV/atom
1.0
-2.3187 2.3187 8.1582
2.3187 -2.3187 8.1582
2.3187 2.3187 -8.1582
Ca Mn W
2 4 2
direct
0.3750 0.6250 0.7500
0.6250 0.3750 0.2500
0.0000 0.0000 0.0000
0.0000 0.0000 0.5000
0.0000 0.5000 0.0000
0.5000 0.0000 0.5000
0.1250 0.8750 0.2500
0.8750 0.1250 0.7500



Record 3
Pr6YCd (PBE, relaxed); SG = P-1; crystal system = triclinic; ΔE_f = 0.4053 eV/atom
1.0
6.6473 0.0000 0.0000
-3.2971 5.7790 0.0000
-3.2811 -1.9535 8.3781
Pr Y Cd
6 1 1
direct
0.0374 0.0709 0.2116
0.2488 0.6810 0.2140
0.3496 0.5278 0.7870
0.6504 0.4722 0.2130
0.7512 0.3190 0.7860
0.9626 0.9291 0.7884
0.5000 0.0000 0.0000
0.5000 0.5000 0.5000



Record 4
Tc2AgOs2 (PBE, relaxed); SG = P4/mbm; crystal system = tetragonal; ΔE_f = 0.3389 eV/atom
1.0
7.6287 0.0000 0.0000
0.0000 7.6287 0.0000
0.0000 0.0000 2.7388
Tc Ag Os
4 2 4
direct
0.1232 0.3768 0.0000
0.3768 0.8768 0.0000
0.6232 0.1232 0.0000
0.8768 0.6232 0.0000
0.0000 0.0000 0.0000
0.5000 0.5000 0.0000
0.1647 0.6647 0.5000
0.3353 0.1647 0.5000
0.6647 0.8353 0.5000
0.8353 0.3353 0.5000



Record 5
ScAlC3 (PBE, relaxed); SG = Pm-3m; crystal system = cubic; ΔE_f = 1.3843 eV/atom
1.0
3.8781 0.0000 0.0000
0.0000 3.8781 0.0000
0.0000 0.0000 3.8781
Sc Al C
1 1 3
direct
0.0000 0.0000 0.0000
0.5000 0.5000 0.5000
0.0000 0.5000 0.5000
0.5000 0.0000 0.5000
0.5000 0.5000 0.0000



Record 6
Sm3HgIr (PBE, relaxed); SG = Pnma; crystal system = orthorhombic; ΔE_f = -0.5548 eV/atom
1.0
7.4050 0.0000 0.0000
0.0000 4.8724 0.0000
0.0000 0.0000 15.3113
Sm Hg Ir
12 4 4
direct
0.0127 0.2500 0.0997
0.1318 0.7500 0.4539
0.1861 0.2500 0.7214
0.3139 0.7500 0.2214
0.3682 0.2500 0.9539
0.4872 0.7500 0.5997
0.5128 0.2500 0.4003
0.6318 0.7500 0.0461
0.6861 0.2500 0.7786
0.8139 0.7500 0.2786
0.8682 0.2500 0.5461
0.9872 0.7500 0.9003
0.0975 0.2500 0.3144
0.4025 0.7500 0.8144
0.5975 0.2500 0.1856
0.9025 0.7500 0.6856
0.2296 0.7500 0.0442
0.2704 0.2500 0.5442
0.7296 0.7500 0.4558
0.7704 0.2500 0.9558



In the order shown, the computed energy above the most stable polymorph in this dataset values come out to 0.47, 2.92, 3.61, 0.29, 0.00, 0.00 eV/f.u..